# 1
VASP calculation (PBE) on a relaxed La2SmAl crystal.

## Properties
- DFT formation energy (eV per atom) = -0.012
- calculated density (g/cm3) = 5.77

Lattice parameters (Å, degrees): 3.7267 3.7267 32.6862 90.00 90.00 120.00
Space group R3m (No. 160, hexagonal axes)
One atom of each set of equivalent atoms:
La (0.0000, 0.0000, 0.0000) x3
La (0.0000, 0.0000, 0.1881) x3
Sm (0.0000, 0.0000, 0.4273) x3
Al (0.0000, 0.0000, 0.5939) x3

# 2
VASP calculation (PBE) on a relaxed LaSmAl crystal.

## Properties
- DFT formation energy (eV per atom) = -0.154
- calculated density (g/cm3) = 6.14

Lattice parameters (Å, degrees): 5.1470 5.1470 3.7308 90.00 90.00 120.00
Space group P3m1 (No. 156)
One atom of each set of equivalent atoms:
La (0.0000, 0.0000, 0.0000) x1
Sm (0.3333, 0.6667, 0.3926) x1
Al (0.6667, 0.3333, 0.6565) x1

# 3
VASP calculation (PBE) on a relaxed LaSm2Al9 crystal.

## Properties
- DFT formation energy (eV per atom) = -0.409
- calculated density (g/cm3) = 4.60

Lattice parameters (Å, degrees): 5.6720 5.6720 26.5323 90.00 90.00 120.00
Space group R-3m (No. 166, hexagonal axes)
One atom of each set of equivalent atoms:
La (0.0000, 0.0000, 0.0000) x3
Sm (0.0000, 0.0000, 0.1412) x6
Al (0.0000, 0.0000, 0.3355) x6
Al (0.0000, 0.0000, 0.5000) x3
Al (0.0074, 0.5037, 0.9167) x18

# 4
VASP calculation (PBE) on a relaxed La2SmAl4 crystal.

## Properties
- DFT formation energy (eV per atom) = -0.399
- calculated density (g/cm3) = 5.04

Lattice parameters (Å, degrees): 3.701 4.618 20.686 90.00 90.00 90.00
Space group Immm (No. 71)
One atom of each set of equivalent atoms:
La (0.000, 0.000, 0.192) x4
Sm (0.000, 0.500, 0.000) x2
Al (0.000, 0.000, 0.368) x4
Al (0.000, 0.500, 0.436) x4

# 5
VASP calculation (PBE) on a relaxed LaSm2Al3 crystal.

## Properties
- DFT formation energy (eV per atom) = -0.368
- calculated density (g/cm3) = 5.60

Lattice parameters (Å, degrees): 3.719 3.719 11.170 90.00 90.00 90.00
Space group P4/mmm (No. 123)
One atom of each set of equivalent atoms:
La (0.000, 0.000, 0.000) x1
Sm (0.000, 0.000, 0.337) x2
Al (0.500, 0.500, 0.178) x2
Al (0.500, 0.500, 0.500) x1

# 6
VASP calculation (PBE) on a relaxed La5SmAl3 crystal.

## Properties
- DFT formation energy (eV per atom) = -0.235
- calculated density (g/cm3) = 5.72

Lattice parameters (Å, degrees): 9.4209 9.4209 6.9982 90.00 90.00 120.00
Space group P6_3/mcm (No. 193)
One atom of each set of equivalent atoms:
La (0.0000, 0.3374, 0.2500) x6
La (0.3333, 0.6667, 0.0000) x4
Sm (0.0000, 0.0000, 0.0000) x2
Al (0.0000, 0.3260, 0.7500) x6

# 7
VASP calculation (PBE) on a relaxed LaSmAlSn crystal.

## Properties
- DFT formation energy (eV per atom) = -0.473
- calculated density (g/cm3) = 6.41

Lattice parameters (Å, degrees): 7.667 7.667 7.667 90.00 90.00 90.00
Space group F-43m (No. 216)
One atom of each set of equivalent atoms:
La (0.000, 0.000, 0.000) x4
Sm (0.000, 0.000, 0.500) x4
Al (0.250, 0.250, 0.250) x4
Sn (0.250, 0.250, 0.750) x4

# 8
VASP calculation (PBE) on a relaxed LaTbSmAl crystal.

## Properties
- DFT formation energy (eV per atom) = -0.175
- calculated density (g/cm3) = 6.64

Lattice parameters (Å, degrees): 3.575 3.575 9.294 90.00 90.00 90.00
Space group P4mm (No. 99)
One atom of each set of equivalent atoms:
La (0.000, 0.000, 0.000) x1
Tb (0.500, 0.500, 0.288) x1
Sm (0.500, 0.500, 0.703) x1
Al (0.000, 0.000, 0.492) x1

# 9
VASP calculation (PBE) on a relaxed LaTbSmAl crystal.

## Properties
- DFT formation energy (eV per atom) = -0.058
- calculated density (g/cm3) = 6.77

Lattice parameters (Å, degrees): 7.755 7.755 7.755 90.00 90.00 90.00
Space group F-43m (No. 216)
One atom of each set of equivalent atoms:
La (0.000, 0.000, 0.000) x4
Tb (0.250, 0.250, 0.750) x4
Sm (0.000, 0.000, 0.500) x4
Al (0.250, 0.250, 0.250) x4

# 10
VASP calculation (PBE) on a relaxed LaSmAlTl crystal.

## Properties
- DFT formation energy (eV per atom) = -0.355
- calculated density (g/cm3) = 7.60

Lattice parameters (Å, degrees): 7.691 7.691 7.691 90.00 90.00 90.00
Space group F-43m (No. 216)
One atom of each set of equivalent atoms:
La (0.000, 0.000, 0.000) x4
Sm (0.000, 0.000, 0.500) x4
Al (0.250, 0.250, 0.750) x4
Tl (0.250, 0.250, 0.250) x4

# 11
VASP calculation (PBE) on a relaxed LaSmAlTl crystal.

## Properties
- DFT formation energy (eV per atom) = -0.382
- calculated density (g/cm3) = 7.66

Lattice parameters (Å, degrees): 3.787 3.787 7.870 90.00 90.00 90.00
Space group P4mm (No. 99)
One atom of each set of equivalent atoms:
La (0.000, 0.000, 0.000) x1
Sm (0.000, 0.000, 0.472) x1
Al (0.500, 0.500, 0.246) x1
Tl (0.500, 0.500, 0.722) x1

# 12
VASP calculation (PBE) on a relaxed LaSmTmAl crystal.

## Properties
- DFT formation energy (eV per atom) = -0.177
- calculated density (g/cm3) = 6.90

Lattice parameters (Å, degrees): 3.547 3.547 9.282 90.00 90.00 90.00
Space group P4mm (No. 99)
One atom of each set of equivalent atoms:
La (0.000, 0.000, 0.000) x1
Sm (0.500, 0.500, 0.696) x1
Tm (0.500, 0.500, 0.284) x1
Al (0.000, 0.000, 0.482) x1

# 13
VASP calculation (PBE) on a relaxed LaSmTmAl crystal.

## Properties
- DFT formation energy (eV per atom) = -0.078
- calculated density (g/cm3) = 7.02

Lattice parameters (Å, degrees): 7.714 7.714 7.714 90.00 90.00 90.00
Space group F-43m (No. 216)
One atom of each set of equivalent atoms:
La (0.000, 0.000, 0.000) x4
Sm (0.000, 0.000, 0.500) x4
Tm (0.250, 0.250, 0.750) x4
Al (0.250, 0.250, 0.250) x4

# 14
VASP calculation (PBE) on a relaxed LaSmYAl crystal.

## Properties
- DFT formation energy (eV per atom) = -0.184
- calculated density (g/cm3) = 5.66

Lattice parameters (Å, degrees): 3.575 3.575 9.295 90.00 90.00 90.00
Space group P4mm (No. 99)
One atom of each set of equivalent atoms:
La (0.000, 0.000, 0.000) x1
Sm (0.500, 0.500, 0.703) x1
Y (0.500, 0.500, 0.290) x1
Al (0.000, 0.000, 0.492) x1

# 15
VASP calculation (PBE) on a relaxed LaSmYAl crystal.

## Properties
- DFT formation energy (eV per atom) = -0.050
- calculated density (g/cm3) = 5.75

Lattice parameters (Å, degrees): 7.766 7.766 7.766 90.00 90.00 90.00
Space group F-43m (No. 216)
One atom of each set of equivalent atoms:
La (0.000, 0.000, 0.000) x4
Sm (0.000, 0.000, 0.500) x4
Y (0.250, 0.250, 0.250) x4
Al (0.250, 0.250, 0.750) x4

# 16
VASP calculation (PBE) on a relaxed LaSmAlZn crystal.

## Properties
- DFT formation energy (eV per atom) = -0.332
- calculated density (g/cm3) = 6.08

Lattice parameters (Å, degrees): 7.469 7.469 7.469 90.00 90.00 90.00
Space group F-43m (No. 216)
One atom of each set of equivalent atoms:
La (0.000, 0.000, 0.000) x4
Sm (0.000, 0.000, 0.500) x4
Al (0.250, 0.250, 0.250) x4
Zn (0.250, 0.250, 0.750) x4

# 17
VASP calculation (PBE) on a relaxed LaSmAl2Zn2 crystal.

## Properties
- DFT formation energy (eV per atom) = -0.432
- calculated density (g/cm3) = 5.70

Lattice parameters (Å, degrees): 4.5661 4.5661 7.6544 90.00 90.00 120.00
Space group P-3m1 (No. 164)
One atom of each set of equivalent atoms:
La (0.0000, 0.0000, 0.0000) x1
Sm (0.0000, 0.0000, 0.5000) x1
Al (0.3333, 0.6667, 0.7278) x2
Zn (0.3333, 0.6667, 0.2804) x2

# 18
VASP calculation (PBE) on a relaxed LaSm2Al2Zn2 crystal.

## Properties
- DFT formation energy (eV per atom) = -0.311
- calculated density (g/cm3) = 5.99

Lattice parameters (Å, degrees): 4.5844 4.5844 28.5249 90.00 90.00 120.00
Space group R-3m (No. 166, hexagonal axes)
One atom of each set of equivalent atoms:
La (0.0000, 0.0000, 0.0000) x3
Sm (0.0000, 0.0000, 0.1296) x6
Al (0.0000, 0.0000, 0.2601) x6
Zn (0.0000, 0.0000, 0.4065) x6

# 19
VASP calculation (PBE) on a relaxed LaSmAlZn crystal.

## Properties
- DFT formation energy (eV per atom) = -0.340
- calculated density (g/cm3) = 6.14

Lattice parameters (Å, degrees): 3.684 3.684 7.598 90.00 90.00 90.00
Space group P4mm (No. 99)
One atom of each set of equivalent atoms:
La (0.000, 0.000, 0.000) x1
Sm (0.000, 0.000, 0.506) x1
Al (0.500, 0.500, 0.263) x1
Zn (0.500, 0.500, 0.732) x1

# 20
VASP calculation (PBE) on a relaxed La6AlSn2 crystal.

## Properties
- DFT formation energy (eV per atom) = -0.101
- calculated density (g/cm3) = 4.98

Lattice parameters (Å, degrees): 7.981 7.981 11.499 90.00 90.00 90.00
Space group P4_2/mnm (No. 136)
One atom of each set of equivalent atoms:
La (0.219, 0.219, 0.160) x8
La (0.225, 0.225, 0.500) x4
Al (0.000, 0.000, 0.000) x2
Sn (0.000, 0.000, 0.329) x4

# 21
VASP calculation (PBE) on a relaxed LaAlSn crystal.

## Properties
- DFT formation energy (eV per atom) = -0.605
- calculated density (g/cm3) = 5.83

Lattice parameters (Å, degrees): 4.5689 4.5689 4.4812 90.00 90.00 120.00
Space group P3m1 (No. 156)
One atom of each set of equivalent atoms:
La (0.0000, 0.0000, 0.0000) x1
Al (0.3333, 0.6667, 0.4135) x1
Sn (0.6667, 0.3333, 0.5400) x1

# 22
VASP calculation (PBE) on a relaxed La3AlSn2 crystal.

## Properties
- DFT formation energy (eV per atom) = -0.669
- calculated density (g/cm3) = 6.07

Lattice parameters (Å, degrees): 12.963 4.576 12.565 90.00 90.00 90.00
Space group Pnma (No. 62)
One atom of each set of equivalent atoms:
La (0.054, 0.250, 0.118) x4
La (0.122, 0.750, 0.559) x4
La (0.213, 0.250, 0.791) x4
Al (0.130, 0.250, 0.367) x4
Sn (0.019, 0.750, 0.310) x4
Sn (0.193, 0.750, 0.996) x4

# 23
VASP calculation (PBE) on a relaxed La8Al2Sn crystal.

## Properties
- DFT formation energy (eV per atom) = -0.255
- calculated density (g/cm3) = 6.07

Lattice parameters (Å, degrees): 5.180 8.720 15.538 90.00 90.00 90.00
Space group Immm (No. 71)
One atom of each set of equivalent atoms:
La (0.000, 0.000, 0.143) x4
La (0.000, 0.223, 0.342) x8
La (0.000, 0.320, 0.000) x4
Al (0.000, 0.500, 0.193) x4
Sn (0.000, 0.500, 0.500) x2

# 24
VASP calculation (PBE) on a relaxed LaAl2Sn2 crystal.

## Properties
- DFT formation energy (eV per atom) = -0.262
- calculated density (g/cm3) = 5.83

Lattice parameters (Å, degrees): 7.966 7.966 3.861 90.00 90.00 90.00
Space group P4/mbm (No. 127)
One atom of each set of equivalent atoms:
La (0.000, 0.000, 0.000) x2
Al (0.119, 0.381, 0.000) x4
Sn (0.167, 0.667, 0.500) x4

# 25
VASP calculation (PBE) on a relaxed La3Al2Sn3 crystal.

## Properties
- DFT formation energy (eV per atom) = -0.634
- calculated density (g/cm3) = 6.22

Lattice parameters (Å, degrees): 4.553 12.046 16.096 90.00 90.00 90.00
Space group Cmcm (No. 63)
One atom of each set of equivalent atoms:
La (0.000, 0.061, 0.111) x8
La (0.000, 0.348, 0.250) x4
Al (0.000, 0.224, 0.612) x8
Sn (0.000, 0.369, 0.040) x8
Sn (0.000, 0.372, 0.750) x4